[1]
The following is a GGA-PBE calculation of crystalline Dy4GaNi2Sn4 at its relaxed geometry, from OQMD.

```
11
Lattice="-7.2380 -3.3194 -2.1265 -4.2740 -4.5784 -5.3573 3.2512 -4.5175 4.7431" Properties=species:S:1:pos:R:3 pbc="T T T"
Dy -3.8408 -2.9408 -2.3777
Dy -5.5207 -6.4472 -2.5525
Dy -2.7402 -5.9681 -0.1882
Dy -4.4200 -9.4745 -0.3630
Sn -6.8376 -9.5804 -2.5396
Sn 1.4426 -3.6150 2.7322
Sn -9.7034 -8.8003 -5.4729
Sn -1.4233 -2.8348 -0.2011
Ni -0.4188 -4.6987 1.4468
Ni -7.8420 -7.7165 -4.1875
Ga 0.0000 0.0000 0.0000
```

## Properties
theoretical density	8.71	g cm⁻³
E	-5.0363	eV per atom

***

[2]
The following is a GGA-PBE calculation of crystalline DyTm2Ga3NiSn2 at its relaxed geometry, from OQMD.

```
9
Lattice="-1.6893 3.8601 -0.4329 -3.9761 -1.0706 5.9694 6.6104 2.9453 0.4665" Properties=species:S:1:pos:R:3 pbc="T T T"
Tm 5.1084 2.5400 2.7135
Tm -1.4844 0.0390 6.1405
Sn 2.2550 3.5430 2.0700
Sn -1.3133 2.1894 3.9249
Ga -0.2580 2.3475 1.2168
Ga 2.6636 4.0399 4.9059
Ga 0.3356 3.1568 6.1160
Dy 1.6312 1.1608 3.9852
Ni 0.0100 0.0071 0.0245
```

## Properties
theoretical density	8.70	g cm⁻³
E	-4.6140	eV per atom

***

[3]
The following is a GGA-PBE calculation of crystalline TbDyGa2Ni4 at its relaxed geometry, from OQMD.

```
8
Lattice="-4.0445 -0.9439 0.0162 2.7187 -2.4792 1.9265 -1.0541 4.6448 7.4648" Properties=species:S:1:pos:R:3 pbc="T T T"
Ni 0.2688 -1.1059 2.6743
Ni -0.3287 1.4484 2.3278
Ni -0.3943 1.8159 7.3700
Ni -0.7254 3.1964 5.1370
Tb -0.0627 0.3550 5.0221
Dy 0.0000 0.0000 0.0000
Ga -2.0524 -0.2997 2.5107
Ga -2.5818 2.0332 6.2600
```

## Properties
theoretical density	8.73	g cm⁻³
E	-5.2636	eV per atom

***

| no. | volume (Å³ per cell) | magnetic moment (μB/cell) |
| --- | --- | --- |
| 1 | 250 | 0.00 |
| 2 | 192 | 0.00 |
| 3 | 132 | 0.00 |